The following is a DFT calculation (PBE-GGA) of an optimized crystal structure of Nd4SnHg5.

Lattice parameters (Å, degrees): 5.2582 6.5777 8.5791 102.96 107.85 90.00
Fractional positions:
1 Hg 0.1004 0.3636 0.2008
2 Nd 0.6877 0.3200 0.3754
3 Hg 0.8996 0.6364 0.7992
4 Nd 0.9069 0.1652 0.8137
5 Nd 0.3123 0.6800 0.6246
6 Nd 0.0931 0.8348 0.1863
7 Hg 0.5000 0.5000 0.0000
8 Hg 0.7189 0.8368 0.4378
9 Hg 0.2811 0.1632 0.5622
10 Sn 0.5000 0.0000 0.0000

calculated formation energy = -0.5047 eV/atom



The following is a DFT calculation (PBE-GGA) of an optimized crystal structure of InTe2Cl.

Lattice parameters (Å, degrees): 11.1091 11.1091 11.1091 17.33 17.33 17.33
Fractional positions:
1 Te 0.0901 0.0901 0.0901
2 Te 0.9099 0.9099 0.9099
3 Cl 0.5000 0.5000 0.5000
4 In 0.0000 0.0000 0.0000

formation energy without anion corrections = 0.095 eV/atom



> What is the formula in the second record?

InTe2Cl